No. 1
A relaxed CaCl2F crystal, computed with PBE.

The value obtained for the energy is -42.92 eV/cell. As for the uncorrected formation energy: -1.686 eV/atom.

It has space group R-3m (No. 166, hexagonal axes), with a = 4.2759 Å, b = 4.2759 Å, c = 21.9020 Å, α = 90.00°, β = 90.00° and γ = 120.00°. The asymmetric unit holds Ca at (0.0000, 0.0000, 0.0000), Cl at (0.0000, 0.0000, 0.3916) and F at (0.0000, 0.0000, 0.5000).


No. 2
A relaxed CaCl2F2 crystal, computed with PBE.

The value obtained for the energy is -32.93 eV/cell. As for the uncorrected formation energy: -1.406 eV/atom.

It has space group P4/mbm (No. 127), with a = 6.908 Å, b = 6.908 Å, c = 3.775 Å, α = 90.00°, β = 90.00° and γ = 90.00°. The asymmetric unit holds Ca at (0.000, 0.000, 0.000), Cl at (0.102, 0.398, 0.000) and F at (0.210, 0.710, 0.500).


No. 3
A relaxed CaClF2 crystal, computed with PBE.

The value obtained for the energy is -69.09 eV/cell. As for the uncorrected formation energy: -2.420 eV/atom.

It has space group I-42d (No. 122), with a = 6.281 Å, b = 6.281 Å, c = 10.861 Å, α = 90.00°, β = 90.00° and γ = 90.00°. The asymmetric unit holds Ca at (0.000, 0.000, 0.000), Cl at (0.000, 0.000, 0.500) and F at (0.090, 0.250, 0.125).


No. 4
A relaxed Ca2Cl3F crystal, computed with PBE.

The value obtained for the energy is -111.46 eV/cell. As for the uncorrected formation energy: -2.742 eV/atom.

It has space group C2/m (No. 12), with a = 15.162 Å, b = 4.193 Å, c = 10.182 Å, α = 90.00°, β = 114.67° and γ = 90.00°. The asymmetric unit holds Ca at (0.102, 0.000, 0.440), Ca at (0.142, 0.500, 0.819), Cl at (0.052, 0.500, 0.250), Cl at (0.158, 0.000, 0.000), Cl at (0.218, 0.500, 0.614) and F at (0.068, 0.000, 0.644).


No. 5
A relaxed CaClF crystal, computed with PBE.

The value obtained for the energy is -60.59 eV/cell. As for the uncorrected formation energy: -3.143 eV/atom.

It has space group C2/m (No. 12), with a = 9.699 Å, b = 3.968 Å, c = 6.880 Å, α = 90.00°, β = 105.98° and γ = 90.00°. The asymmetric unit holds Ca at (0.201, 0.000, 0.270), Cl at (0.111, 0.000, 0.839) and F at (0.160, 0.500, 0.401).


No. 6
A relaxed CaClF crystal, computed with PBE.

The value obtained for the energy is -30.41 eV/cell. As for the uncorrected formation energy: -3.161 eV/atom.

It has space group P4/nmm (No. 129, origin choice 2), with a = 3.907 Å, b = 3.907 Å, c = 6.949 Å, α = 90.00°, β = 90.00° and γ = 90.00°. The asymmetric unit holds Ca at (0.250, 0.250, 0.194), Cl at (0.250, 0.250, 0.646) and F at (0.250, 0.750, 0.000).


No. 7
A relaxed CaClF2 crystal, computed with PBE.

The value obtained for the energy is -65.86 eV/cell. As for the uncorrected formation energy: -2.219 eV/atom.

It has space group Fm-3m (No. 225), with a = 6.219 Å, b = 6.219 Å, c = 6.219 Å, α = 90.00°, β = 90.00° and γ = 90.00°. The asymmetric unit holds Ca at (0.000, 0.000, 0.000), Cl at (0.000, 0.000, 0.500) and F at (0.250, 0.250, 0.250).


No. 8
A relaxed CaClF crystal, computed with PBE.

The value obtained for the energy is -58.34 eV/cell. As for the uncorrected formation energy: -2.955 eV/atom.

It has space group F-43m (No. 216), with a = 6.229 Å, b = 6.229 Å, c = 6.229 Å, α = 90.00°, β = 90.00° and γ = 90.00°. The asymmetric unit holds Ca at (0.000, 0.000, 0.000), Cl at (0.250, 0.250, 0.750) and F at (0.250, 0.250, 0.250).


No. 9
A relaxed CaClF2 crystal, computed with PBE.

The value obtained for the energy is -37.35 eV/cell. As for the uncorrected formation energy: -2.771 eV/atom.

It has space group P1 (No. 1), with a = 3.854 Å, b = 6.650 Å, c = 6.931 Å, α = 64.21°, β = 89.75° and γ = 74.23°. The asymmetric unit holds Ca at (0.000, 0.000, 0.000), Ca at (0.402, 0.210, 0.408), Cl at (0.542, 0.636, 0.898), Cl at (0.736, 0.686, 0.612), F at (0.252, 0.602, 0.213), F at (0.426, 0.157, 0.955), F at (0.924, 0.158, 0.627) and F at (0.948, 0.115, 0.270).


No. 10
A relaxed CaClF2 crystal, computed with PBE.

The value obtained for the energy is -53.68 eV/cell. As for the uncorrected formation energy: -2.575 eV/atom.

It has space group R-3m (No. 166, hexagonal axes), with a = 3.5331 Å, b = 3.5331 Å, c = 27.1977 Å, α = 90.00°, β = 90.00° and γ = 120.00°. The asymmetric unit holds Ca at (0.0000, 0.0000, 0.0000), Cl at (0.0000, 0.0000, 0.5000) and F at (0.0000, 0.0000, 0.3700).


No. 11
A relaxed CaCl3F crystal, computed with PBE.

The value obtained for the energy is -13.98 eV/cell. As for the uncorrected formation energy: -0.914 eV/atom.

It has space group Pm-3m (No. 221), with a = 4.751 Å, b = 4.751 Å, c = 4.751 Å, α = 90.00°, β = 90.00° and γ = 90.00°. The asymmetric unit holds Ca at (0.000, 0.000, 0.000), Cl at (0.000, 0.500, 0.500) and F at (0.500, 0.500, 0.500).


No. 12
A relaxed CaClF2 crystal, computed with PBE.

The value obtained for the energy is -38.01 eV/cell. As for the uncorrected formation energy: -2.854 eV/atom.

It has space group P-1 (No. 2), with a = 3.673 Å, b = 6.307 Å, c = 8.431 Å, α = 109.21°, β = 98.70° and γ = 90.22°. The asymmetric unit holds Ca at (0.242, 0.246, 0.479), Cl at (0.061, 0.927, 0.090), F at (0.213, 0.854, 0.390) and F at (0.294, 0.624, 0.625).